A:
# SbHRu3 GGA-PBE relaxed
data_SbHRu3
_chemical_formula_sum 'Sb1 H1 Ru3'
_symmetry_space_group_name_H-M 'P m -3 m'
_symmetry_Int_Tables_number 221
_symmetry_space_group_name_Hall '-P 4 2 3'
_cell_length_a 3.999
_cell_length_b 3.999
_cell_length_c 3.999
_cell_angle_alpha 90.00
_cell_angle_beta 90.00
_cell_angle_gamma 90.00
loop_
_atom_site_label
_atom_site_type_symbol
_atom_site_fract_x
_atom_site_fract_y
_atom_site_fract_z
Sb1 Sb 0.000 0.000 0.000
H1 H 0.500 0.500 0.500
Ru1 Ru 0.000 0.500 0.500
# * density of states at the Fermi level: 7.29 states/eV per cell

---

B:
# SbHRu3 GGA-PBE relaxed
data_SbHRu3
_chemical_formula_sum 'Sb1 H1 Ru3'
_symmetry_space_group_name_H-M 'P m -3 m'
_symmetry_Int_Tables_number 221
_symmetry_space_group_name_Hall '-P 4 2 3'
_cell_length_a 4.892
_cell_length_b 4.892
_cell_length_c 4.892
_cell_angle_alpha 90.00
_cell_angle_beta 90.00
_cell_angle_gamma 90.00
loop_
_atom_site_label
_atom_site_type_symbol
_atom_site_fract_x
_atom_site_fract_y
_atom_site_fract_z
Sb1 Sb 0.000 0.000 0.000
H1 H 0.500 0.500 0.500
Ru1 Ru 0.000 0.000 0.500
# * density of states at the Fermi level: 4.41 states/eV per cell

---

Which of them is the most stable, and which is the least stable? A and B, in that order.

---

A:
# SbH2Ru GGA-PBE relaxed
data_SbH2Ru
_chemical_formula_sum 'Sb4 H8 Ru4'
_symmetry_space_group_name_H-M 'C 1 2/c 1'
_symmetry_Int_Tables_number 15
_symmetry_space_group_name_Hall '-C 2yc'
_cell_length_a 4.176
_cell_length_b 12.407
_cell_length_c 4.237
_cell_angle_alpha 90.00
_cell_angle_beta 95.62
_cell_angle_gamma 90.00
loop_
_atom_site_label
_atom_site_type_symbol
_atom_site_fract_x
_atom_site_fract_y
_atom_site_fract_z
Sb1 Sb 0.000 0.105 0.250
H1 H 0.159 0.324 0.091
Ru1 Ru 0.000 0.257 0.750
# * density of states at the Fermi level: 4.39 states/eV per cell

---

B:
# SbH2Ru GGA-PBE relaxed
data_SbH2Ru
_chemical_formula_sum 'Sb4 H8 Ru4'
_symmetry_space_group_name_H-M 'I -4 2 d'
_symmetry_Int_Tables_number 122
_symmetry_space_group_name_Hall 'I -4 2bw'
_cell_length_a 4.295
_cell_length_b 4.295
_cell_length_c 10.313
_cell_angle_alpha 90.00
_cell_angle_beta 90.00
_cell_angle_gamma 90.00
loop_
_atom_site_label
_atom_site_type_symbol
_atom_site_fract_x
_atom_site_fract_y
_atom_site_fract_z
Sb1 Sb 0.000 0.000 0.000
H1 H 0.062 0.250 0.625
Ru1 Ru 0.000 0.000 0.500
# * density of states at the Fermi level: 16.49 states/eV per cell

---

C:
# SbH2Ru GGA-PBE relaxed
data_SbH2Ru
_chemical_formula_sum 'Sb4 H8 Ru4'
_symmetry_space_group_name_H-M 'F m -3 m'
_symmetry_Int_Tables_number 225
_symmetry_space_group_name_Hall '-F 4 2 3'
_cell_length_a 5.617
_cell_length_b 5.617
_cell_length_c 5.617
_cell_angle_alpha 90.00
_cell_angle_beta 90.00
_cell_angle_gamma 90.00
loop_
_atom_site_label
_atom_site_type_symbol
_atom_site_fract_x
_atom_site_fract_y
_atom_site_fract_z
Sb1 Sb 0.000 0.000 0.000
H1 H 0.250 0.250 0.250
Ru1 Ru 0.000 0.000 0.500
# * density of states at the Fermi level: 12.70 states/eV per cell

---

Which of them is the most stable, and which is the least stable? A and C, in that order.

---

A:
# SbHRu GGA-PBE relaxed
data_SbHRu
_chemical_formula_sum 'Sb2 H2 Ru2'
_symmetry_space_group_name_H-M 'P 4/n m m'
_symmetry_Int_Tables_number 129
_cell_length_a 4.235
_cell_length_b 4.235
_cell_length_c 6.396
_cell_angle_alpha 90.00
_cell_angle_beta 90.00
_cell_angle_gamma 90.00
loop_
_symmetry_equiv_pos_as_xyz
'x,y,z'
'-x,-y,-z'
'-y+1/2,x,z'
'y+1/2,-x,-z'
'-x+1/2,-y+1/2,z'
'x+1/2,y+1/2,-z'
'y,-x+1/2,z'
'-y,x+1/2,-z'
'x+1/2,-y,-z'
'-x+1/2,y,z'
'-y,-x,-z'
'y,x,z'
'-x,y+1/2,-z'
'x,-y+1/2,z'
'y+1/2,x+1/2,-z'
'-y+1/2,-x+1/2,z'
loop_
_atom_site_label
_atom_site_type_symbol
_atom_site_fract_x
_atom_site_fract_y
_atom_site_fract_z
Sb1 Sb 0.250 0.250 0.228
H1 H 0.250 0.250 0.500
Ru1 Ru 0.250 0.750 0.000
# * density of states at the Fermi level: 1.86 states/eV per cell

---

B:
# SbHRu GGA-PBE relaxed
data_SbHRu
_chemical_formula_sum 'Sb2 H2 Ru2'
_symmetry_space_group_name_H-M 'P -1'
_symmetry_Int_Tables_number 2
_symmetry_space_group_name_Hall '-P 1'
_cell_length_a 3.323
_cell_length_b 4.994
_cell_length_c 5.809
_cell_angle_alpha 76.81
_cell_angle_beta 89.89
_cell_angle_gamma 70.63
loop_
_atom_site_label
_atom_site_type_symbol
_atom_site_fract_x
_atom_site_fract_y
_atom_site_fract_z
Sb1 Sb 0.160 0.179 0.153
H1 H 0.397 0.704 0.505
Ru1 Ru 0.458 0.584 0.234
# * density of states at the Fermi level: 1.13 states/eV per cell

---

Which of them is the most stable, and which is the least stable? B and A, in that order.

---

A:
# ScH2Ru GGA-PBE relaxed
data_ScH2Ru
_chemical_formula_sum 'Sc4 H8 Ru4'
_symmetry_space_group_name_H-M 'F m -3 m'
_symmetry_Int_Tables_number 225
_symmetry_space_group_name_Hall '-F 4 2 3'
_cell_length_a 5.384
_cell_length_b 5.384
_cell_length_c 5.384
_cell_angle_alpha 90.00
_cell_angle_beta 90.00
_cell_angle_gamma 90.00
loop_
_atom_site_label
_atom_site_type_symbol
_atom_site_fract_x
_atom_site_fract_y
_atom_site_fract_z
Sc1 Sc 0.000 0.000 0.000
H1 H 0.250 0.250 0.250
Ru1 Ru 0.000 0.000 0.500
# * density of states at the Fermi level: 8.98 states/eV per cell

---

B:
# ScH2Ru GGA-PBE relaxed
data_ScH2Ru
_chemical_formula_sum 'Sc4 H8 Ru4'
_symmetry_space_group_name_H-M 'I -4 2 d'
_symmetry_Int_Tables_number 122
_symmetry_space_group_name_Hall 'I -4 2bw'
_cell_length_a 4.105
_cell_length_b 4.105
_cell_length_c 9.730
_cell_angle_alpha 90.00
_cell_angle_beta 90.00
_cell_angle_gamma 90.00
loop_
_atom_site_label
_atom_site_type_symbol
_atom_site_fract_x
_atom_site_fract_y
_atom_site_fract_z
Sc1 Sc 0.000 0.000 0.000
H1 H 0.183 0.250 0.625
Ru1 Ru 0.000 0.000 0.500
# * density of states at the Fermi level: 8.15 states/eV per cell

---

C:
# ScH2Ru GGA-PBE relaxed
data_ScH2Ru
_chemical_formula_sum 'Sc3 H6 Ru3'
_symmetry_space_group_name_H-M 'R -3 m'
_symmetry_Int_Tables_number 166
_symmetry_space_group_name_Hall '-R 3 2"'
_cell_length_a 3.3144
_cell_length_b 3.3144
_cell_length_c 13.1258
_cell_angle_alpha 90.00
_cell_angle_beta 90.00
_cell_angle_gamma 120.00
loop_
_atom_site_label
_atom_site_type_symbol
_atom_site_fract_x
_atom_site_fract_y
_atom_site_fract_z
Sc1 Sc 0.0000 0.0000 0.0000
H1 H 0.0000 0.0000 0.3725
Ru1 Ru 0.0000 0.0000 0.5000
# * density of states at the Fermi level: 4.95 states/eV per cell

---

Which of them is the most stable, and which is the least stable? B and A, in that order.

---

A:
# Sc2H4Ru GGA-PBE relaxed
data_Sc2H4Ru
_chemical_formula_sum 'Sc4 H8 Ru2'
_symmetry_space_group_name_H-M 'I 4/m m m'
_symmetry_Int_Tables_number 139
_symmetry_space_group_name_Hall '-I 4 2'
_cell_length_a 3.421
_cell_length_b 3.421
_cell_length_c 11.607
_cell_angle_alpha 90.00
_cell_angle_beta 90.00
_cell_angle_gamma 90.00
loop_
_atom_site_label
_atom_site_type_symbol
_atom_site_fract_x
_atom_site_fract_y
_atom_site_fract_z
Sc1 Sc 0.000 0.000 0.156
H1 H 0.000 0.000 0.344
H2 H 0.000 0.500 0.000
Ru1 Ru 0.000 0.000 0.500
# * density of states at the Fermi level: 9.75 states/eV per cell

---

B:
Density functional theory data (GGA-PBE) for a geometry-optimized Sc2H4Ru structure.

CIF file:
```
data_Sc2H4Ru
_chemical_formula_sum 'Sc4 H8 Ru2'
_symmetry_space_group_name_H-M 'P 1 21/m 1'
_symmetry_Int_Tables_number 11
_symmetry_space_group_name_Hall '-P 2yb'
_cell_length_a 4.952
_cell_length_b 4.570
_cell_length_c 6.745
_cell_angle_alpha 90.00
_cell_angle_beta 97.28
_cell_angle_gamma 90.00
loop_
_atom_site_label
_atom_site_type_symbol
_atom_site_fract_x
_atom_site_fract_y
_atom_site_fract_z
Sc1 Sc 0.232 0.250 0.038
Sc2 Sc 0.261 0.250 0.524
H1 H 0.040 0.518 0.761
H2 H 0.314 0.750 0.523
H3 H 0.484 0.250 0.817
Ru1 Ru 0.207 0.750 0.265
```

---

Which of them is the most stable, and which is the least stable? B and A, in that order.

---

A:
# ScHRu3 GGA-PBE relaxed
data_ScHRu3
_chemical_formula_sum 'Sc1 H1 Ru3'
_symmetry_space_group_name_H-M 'P m -3 m'
_symmetry_Int_Tables_number 221
_symmetry_space_group_name_Hall '-P 4 2 3'
_cell_length_a 4.694
_cell_length_b 4.694
_cell_length_c 4.694
_cell_angle_alpha 90.00
_cell_angle_beta 90.00
_cell_angle_gamma 90.00
loop_
_atom_site_label
_atom_site_type_symbol
_atom_site_fract_x
_atom_site_fract_y
_atom_site_fract_z
Sc1 Sc 0.000 0.000 0.000
H1 H 0.500 0.500 0.500
Ru1 Ru 0.000 0.000 0.500
# * density of states at the Fermi level: 5.04 states/eV per cell

---

B:
# ScHRu3 GGA-PBE relaxed
data_ScHRu3
_chemical_formula_sum 'Sc1 H1 Ru3'
_symmetry_space_group_name_H-M 'P m -3 m'
_symmetry_Int_Tables_number 221
_symmetry_space_group_name_Hall '-P 4 2 3'
_cell_length_a 3.976
_cell_length_b 3.976
_cell_length_c 3.976
_cell_angle_alpha 90.00
_cell_angle_beta 90.00
_cell_angle_gamma 90.00
loop_
_atom_site_label
_atom_site_type_symbol
_atom_site_fract_x
_atom_site_fract_y
_atom_site_fract_z
Sc1 Sc 0.000 0.000 0.000
H1 H 0.500 0.500 0.500
Ru1 Ru 0.000 0.500 0.500
# * density of states at the Fermi level: 5.76 states/eV per cell

---

Which of them is the most stable, and which is the least stable? B and A, in that order.